Compound: CaY2MnF
Source: the Alexandria database
Functional: GGA+U
Structure: optimized geometry

```
CaY2MnF
1.0
-0.237 4.974 -0.749
-4.287 -0.023 1.205
1.342 0.785 4.789
Mn Y Ca F
1 2 1 1
Direct
0.000 0.500 0.000
0.000 0.000 0.500
0.500 0.000 0.000
0.500 0.500 0.500
0.000 0.000 0.000
```

Results
Electronic total energy = -0.398 Ry/atom
DOS(E_F) = 3.2 states/eV/cell